[1]
Below is an optimized crystal structure of PaBePt, with properties calculated at the PBE level.

Calculated values
Magnetic moment = 0.00 μB/f.u.
Total DFT energy (no corrections) = -7.0718 eV per atom
E above lowest polymorph = 0.030 eV per atom

```
data_PaBePt
_chemical_formula_sum 'Pa1 Be1 Pt1'
_cell_length_a 3.482
_cell_length_b 4.220
_cell_length_c 4.220
_cell_angle_alpha 120.00
_cell_angle_beta 90.00
_cell_angle_gamma 90.00
_space_group_name_H-M_alt 'P 1'
_space_group_IT_number 1
loop_
_space_group_symop_operation_xyz
'x,y,z'
loop_
_atom_site_label
_atom_site_fract_x
_atom_site_fract_y
_atom_site_fract_z
Be1 0.167 0.333 0.667
Pt1 0.167 0.000 0.000
Pa1 0.667 0.667 0.333
```

=====

[2]
Below is an optimized crystal structure of Ge3AsBr, with properties calculated at the PBE level.

Calculated values
Magnetic moment = 0.00 μB/f.u.
Total DFT energy (no corrections) = -3.3918 eV per atom
E above lowest polymorph = 0.000 eV per atom
Energy relative to the elements, uncorrected = 0.643 eV per atom

```
data_Ge3AsBr
_chemical_formula_sum 'Ge3 As1 Br1'
_cell_length_a 5.184
_cell_length_b 5.184
_cell_length_c 5.184
_cell_angle_alpha 90.00
_cell_angle_beta 90.00
_cell_angle_gamma 90.00
_space_group_name_H-M_alt 'P 1'
_space_group_IT_number 1
loop_
_space_group_symop_operation_xyz
'x,y,z'
loop_
_atom_site_label
_atom_site_fract_x
_atom_site_fract_y
_atom_site_fract_z
Ge1 0.000 0.000 0.500
As1 0.000 0.000 0.000
Ge2 0.500 0.000 0.000
Br1 0.500 0.500 0.500
Ge3 0.000 0.500 0.000
```